Density functional theory data (GGA-PBE) for a relaxed structure of ScTaAl.

Values from the calculation:
energy relative to the lowest polymorph listed for this composition	37	meV/atom
calculated volume	18.75	Å³/atom
crystal system	tetragonal
E_form	-17.9	kJ per mole of atoms
space group	I4mm

Cell lengths 7.017, 7.017, 2.895 Å; angles 78.10, 78.09, 23.81 degrees
Fractional positions:
Sc  0.336  0.336  0.664
Al  0.006  0.006  0.994
Ta  0.658  0.658  0.342

***

Density functional theory data (GGA-PBE) for a relaxed structure of In2Sb3.

Values from the calculation:
energy relative to the lowest polymorph listed for this composition	187	meV/atom
calculated volume	30.49	Å³/atom
crystal system	trigonal
energy relative to the elements, uncorrected	0.90	eV/f.u.
space group	R-3c

Cell lengths 7.797, 7.797, 7.335 Å; angles 57.89, 57.89, 60.00 degrees
Fractional positions:
Sb  0.980  0.750  0.750
Sb  0.750  0.520  0.750
Sb  0.520  0.980  0.750
Sb  0.250  0.480  0.250
Sb  0.480  0.020  0.250
Sb  0.020  0.250  0.250
In  0.907  0.907  0.278
In  0.407  0.407  0.778
In  0.093  0.093  0.722
In  0.593  0.593  0.222

***

Density functional theory data (GGA-PBE) for a relaxed structure of Pm5Pr3S8.

Values from the calculation:
calculated volume	23.70	Å³/atom
crystal system	trigonal
energy relative to the elements, uncorrected	-32.39	eV/f.u.
space group	R-3m

Cell lengths 8.123, 8.123, 8.125 Å; angles 60.01, 60.01, 60.00 degrees
Fractional positions:
Pm  0.500  0.000  0.000
Pm  0.500  0.500  0.000
Pm  0.000  0.000  0.000
Pm  0.000  0.500  0.000
Pm  0.500  0.500  0.500
Pr  0.500  0.000  0.500
Pr  0.000  0.000  0.500
Pr  0.000  0.500  0.500
S  0.250  0.250  0.755
S  0.250  0.745  0.755
S  0.745  0.250  0.755
S  0.748  0.748  0.757
S  0.750  0.750  0.245
S  0.750  0.255  0.245
S  0.255  0.750  0.245
S  0.252  0.252  0.243

***

Density functional theory data (GGA-PBE) for a relaxed structure of SmDy7In4.

Values from the calculation:
calculated volume	29.83	Å³/atom
crystal system	monoclinic
E_form	-9.8	kJ per mole of atoms
space group	C2/m

Cell lengths 5.660, 9.282, 7.778 Å; angles 75.47, 68.66, 72.25 degrees
Fractional positions:
Sm  0.000  0.000  0.000
Dy  0.789  0.877  0.545
Dy  0.211  0.123  0.455
Dy  0.063  0.604  0.269
Dy  0.937  0.396  0.731
Dy  0.282  0.658  0.778
Dy  0.500  0.000  0.000
Dy  0.718  0.342  0.222
In  0.561  0.241  0.637
In  0.439  0.759  0.363
In  0.682  0.666  0.970
In  0.318  0.334  0.030

***

Density functional theory data (GGA-PBE) for a relaxed structure of Li2U2Se5.

Values from the calculation:
energy relative to the lowest polymorph listed for this composition	0	meV/atom
calculated volume	22.61	Å³/atom
crystal system	orthorhombic
energy relative to the elements, uncorrected	-9.41	eV/f.u.
space group	Ima2

Cell lengths 5.710, 7.991, 10.181 Å; angles 113.10, 106.28, 90.00 degrees
Site moments in Bohr magnetons follow the coordinates.
Fractional positions:
Li  0.020  0.000  0.000  0.01
Li  0.520  0.500  0.000  0.01
Li  0.256  0.142  0.500  0.00
Li  0.756  0.858  0.500  0.00
U  0.622  0.162  0.204  2.50
U  0.418  0.838  0.796  2.50
U  0.122  0.541  0.204  2.50
U  0.918  0.459  0.796  2.50
Se  0.232  0.212  0.925  -0.01
Se  0.307  0.788  0.075  -0.01
Se  0.732  0.212  0.925  -0.01
Se  0.807  0.788  0.075  -0.01
Se  0.160  0.239  0.281  -0.07
Se  0.879  0.761  0.719  -0.07
Se  0.660  0.542  0.281  -0.07
Se  0.379  0.458  0.719  -0.07
Se  0.769  0.180  0.500  -0.06
Se  0.269  0.820  0.500  -0.06

***

Density functional theory data (GGA-PBE) for a relaxed structure of Cs2Ca2BiO6.

Values from the calculation:
calculated volume	20.47	Å³/atom
crystal system	monoclinic
energy relative to the elements, uncorrected	-18.82	eV/f.u.
space group	C2/m

Cell lengths 6.102, 6.102, 7.301 Å; angles 98.81, 98.81, 119.59 degrees
Site moments in Bohr magnetons follow the coordinates.
Fractional positions:
Cs  0.831  0.169  0.000  0.01
Cs  0.169  0.831  0.000  0.01
Ca  0.338  0.662  0.500  -0.01
Ca  0.662  0.338  0.500  -0.01
Bi  0.000  0.000  0.500  -0.02
O  0.759  0.759  0.662  0.08
O  0.051  0.360  0.662  0.18
O  0.241  0.241  0.338  0.08
O  0.360  0.051  0.662  0.18
O  0.949  0.640  0.338  0.18
O  0.640  0.949  0.338  0.18

***

Density functional theory data (GGA-PBE) for a relaxed structure of KMgAs3.

Values from the calculation:
energy relative to the lowest polymorph listed for this composition	0	meV/atom
calculated volume	27.06	Å³/atom
crystal system	cubic
E_form	18.8	kJ per mole of atoms
space group	Pm-3m

Cell lengths 5.134, 5.134, 5.134 Å; angles 90.00, 90.00, 90.00 degrees
Fractional positions:
Mg  0.000  0.000  0.000
As  0.000  0.500  0.000
As  0.000  0.000  0.500
As  0.500  0.000  0.000
K  0.500  0.500  0.500

***

Density functional theory data (GGA-PBE) for a relaxed structure of NbSbAu3.

Values from the calculation:
energy relative to the lowest polymorph listed for this composition	0	meV/atom
calculated volume	26.77	Å³/atom
crystal system	cubic
energy relative to the elements, uncorrected	4.73	eV/f.u.
space group	Pm-3m

Cell lengths 5.115, 5.115, 5.115 Å; angles 90.00, 90.00, 90.00 degrees
Fractional positions:
Sb  0.500  0.500  0.500
Nb  0.000  0.000  0.000
Au  0.000  0.500  0.000
Au  0.000  0.000  0.500
Au  0.500  0.000  0.000

***

Density functional theory data (GGA-PBE) for a relaxed structure of CsNa2ErBr6.

Values from the calculation:
calculated volume	36.23	Å³/atom
crystal system	trigonal
energy relative to the elements, uncorrected	-17.32	eV/f.u.
space group	R3

Cell lengths 7.681, 7.681, 8.363 Å; angles 62.67, 62.67, 60.01 degrees
Fractional positions:
Cs  0.795  0.795  0.616
Na  0.521  0.521  0.438
Na  0.999  0.999  0.002
Er  0.328  0.328  0.015
Br  0.567  0.263  0.224
Br  0.263  0.947  0.224
Br  0.946  0.567  0.224
Br  0.320  0.727  0.758
Br  0.727  0.195  0.758
Br  0.195  0.319  0.758

***

Density functional theory data (GGA-PBE) for a relaxed structure of TcRu2Pt.

Values from the calculation:
energy relative to the lowest polymorph listed for this composition	73	meV/atom
calculated volume	14.45	Å³/atom
crystal system	orthorhombic
E_form	-0.2	kJ per mole of atoms
space group	Pmma

Cell lengths 3.904, 3.865, 7.660 Å; angles 90.00, 90.00, 90.00 degrees
Fractional positions:
Tc  0.500  0.750  0.369
Tc  0.500  0.250  0.631
Ru  0.500  0.250  0.125
Ru  0.500  0.750  0.875
Ru  0.000  0.750  0.123
Ru  0.000  0.250  0.877
Pt  0.000  0.250  0.372
Pt  0.000  0.750  0.628

***

Density functional theory data (GGA-PBE) for a relaxed structure of BaNaSrTl.

Values from the calculation:
calculated volume	39.75	Å³/atom
crystal system	cubic
E_form	-20.8	kJ per mole of atoms
space group	F-43m

Cell lengths 6.081, 6.081, 6.081 Å; angles 60.00, 60.00, 60.00 degrees
Fractional positions:
Sr  0.250  0.250  0.250
Tl  0.500  0.500  0.500
Ba  0.750  0.750  0.750
Na  0.000  0.000  0.000

***

Density functional theory data (GGA-PBE) for a relaxed structure of YEr2ZrP4.

Values from the calculation:
calculated volume	21.18	Å³/atom
crystal system	monoclinic
E_form	-149.8	kJ per mole of atoms
space group	P2/m

Cell lengths 3.909, 6.779, 6.775 Å; angles 109.28, 90.00, 90.00 degrees
Fractional positions:
Y  0.500  0.500  0.000
Er  0.500  0.000  0.500
Er  0.000  0.500  0.500
Zr  0.000  0.000  0.000
P  0.500  0.240  0.242
P  0.500  0.760  0.758
P  0.000  0.243  0.753
P  0.000  0.757  0.247

***

Density functional theory data (GGA-PBE) for a relaxed structure of MgBeSi.

Values from the calculation:
calculated volume	15.29	Å³/atom
crystal system	trigonal
energy relative to the elements, uncorrected	1.00	eV/f.u.
space group	P3m1

Cell lengths 2.992, 2.992, 5.920 Å; angles 90.00, 90.00, 120.00 degrees
Fractional positions:
Be  0.000  0.000  0.976
Si  0.333  0.667  0.704
Mg  0.667  0.333  0.320

***

Density functional theory data (GGA-PBE) for a relaxed structure of Na2Li2Tl5.

Values from the calculation:
calculated volume	26.61	Å³/atom
crystal system	orthorhombic
E_form	-11.8	kJ per mole of atoms
space group	Cmce

Cell lengths 7.474, 7.460, 9.366 Å; angles 113.47, 90.00, 90.00 degrees
Fractional positions:
Na  0.000  0.220  0.440
Na  0.500  0.720  0.440
Na  0.000  0.780  0.560
Na  0.500  0.280  0.560
Li  0.639  0.862  0.000
Li  0.361  0.138  0.000
Li  0.139  0.638  0.000
Li  0.861  0.362  0.000
Tl  0.000  0.000  0.000
Tl  0.500  0.500  0.000
Tl  0.838  0.778  0.235
Tl  0.162  0.457  0.235
Tl  0.338  0.957  0.235
Tl  0.662  0.278  0.235
Tl  0.162  0.222  0.765
Tl  0.838  0.543  0.765
Tl  0.662  0.043  0.765
Tl  0.338  0.722  0.765

***

Density functional theory data (GGA-PBE) for a relaxed structure of CdGa2Tc.

Values from the calculation:
calculated volume	18.71	Å³/atom
crystal system	tetragonal
E_form	41.0	kJ per mole of atoms
space group	I-42d

Cell lengths 7.269, 7.269, 5.869 Å; angles 51.74, 51.74, 90.00 degrees
Site moments in Bohr magnetons follow the coordinates.
Fractional positions:
Tc  0.500  0.500  0.000  0.82
Tc  0.250  0.750  0.500  0.83
Ga  0.596  0.125  0.250  0.03
Ga  0.154  0.625  0.250  0.03
Ga  0.375  0.404  0.750  0.03
Ga  0.875  0.846  0.750  0.02
Cd  0.000  0.000  0.000  0.00
Cd  0.750  0.250  0.500  0.00

***

Density functional theory data (GGA-PBE) for a relaxed structure of SrCaAlHg.

Values from the calculation:
calculated volume	29.27	Å³/atom
crystal system	cubic
E_form	-31.1	kJ per mole of atoms
space group	F-43m

Cell lengths 5.491, 5.491, 5.491 Å; angles 60.00, 60.00, 60.00 degrees
Fractional positions:
Sr  0.250  0.250  0.250
Ca  0.750  0.750  0.750
Hg  0.000  0.000  0.000
Al  0.500  0.500  0.500

***

Density functional theory data (GGA-PBE) for a relaxed structure of In2FeAg.

Values from the calculation:
energy relative to the lowest polymorph listed for this composition	112	meV/atom
calculated volume	19.80	Å³/atom
crystal system	trigonal
E_form	30.6	kJ per mole of atoms
space group	R3m

Cell lengths 9.539, 9.539, 9.539 Å; angles 18.85, 18.85, 18.85 degrees
Site moments in Bohr magnetons follow the coordinates.
Fractional positions:
Ag  0.492  0.492  0.492  0.00
Fe  0.752  0.752  0.752  2.80
In  0.009  0.009  0.009  -0.06
In  0.246  0.246  0.246  -0.05

***

Density functional theory data (GGA-PBE) for a relaxed structure of Li2ZrCl.

Values from the calculation:
energy relative to the lowest polymorph listed for this composition	566	meV/atom
calculated volume	19.18	Å³/atom
crystal system	tetragonal
energy relative to the elements, uncorrected	-0.12	eV/f.u.
space group	P4/mmm

Cell lengths 5.529, 3.725, 3.725 Å; angles 90.00, 90.00, 90.00 degrees
Fractional positions:
Cl  0.500  0.000  0.500
Li  0.000  0.000  0.000
Li  0.000  0.500  0.500
Zr  0.500  0.500  0.000

***

Density functional theory data (GGA-PBE) for a relaxed structure of SrTa2Mo.

Values from the calculation:
energy relative to the lowest polymorph listed for this composition	56	meV/atom
calculated volume	22.87	Å³/atom
crystal system	tetragonal
E_form	54.3	kJ per mole of atoms
space group	P4mm

Cell lengths 3.400, 3.400, 7.912 Å; angles 90.00, 90.00, 90.00 degrees
Fractional positions:
Mo  0.000  0.000  0.426
Sr  0.500  0.500  0.735
Ta  0.000  0.000  0.077
Ta  0.500  0.500  0.262

***

Density functional theory data (GGA-PBE) for a relaxed structure of Tl2CdRe.

Values from the calculation:
energy relative to the lowest polymorph listed for this composition	218	meV/atom
calculated volume	21.67	Å³/atom
crystal system	monoclinic
E_form	83.9	kJ per mole of atoms
space group	P2/m

Cell lengths 5.247, 2.976, 5.550 Å; angles 90.99, 90.00, 90.00 degrees
Fractional positions:
Re  0.500  0.750  0.750
Tl  0.000  0.981  0.994
Tl  0.000  0.519  0.506
Cd  0.500  0.250  0.250